# 1
! LaPrFeC (GGA-PBE, relaxed); values from VASP
&SYSTEM
  ibrav = 0, nat = 8, ntyp = 4
/
ATOMIC_SPECIES
La 138.91 La.upf
Pr 140.91 Pr.upf
Fe 55.84 Fe.upf
C 12.01 C.upf
ATOMIC_POSITIONS crystal
La 0.250 0.750 0.500
La 0.750 0.250 0.500
Pr 0.750 0.750 0.194
Pr 0.250 0.250 0.806
Fe 0.750 0.250 0.000
Fe 0.250 0.750 0.000
C 0.750 0.750 0.930
C 0.250 0.250 0.070
CELL_PARAMETERS angstrom
3.792 0.000 0.000
0.000 3.792 0.000
0.000 0.000 11.416
! E_form, meV per atom: 414
! Symmetry: P4/nmm
! D(E_F), states/eV per cell: 8.29

=====

# 2
! LaFeRhC2 (GGA-PBE, relaxed); values from VASP
&SYSTEM
  ibrav = 0, nat = 5, ntyp = 4
/
ATOMIC_SPECIES
C 12.01 C.upf
Rh 102.91 Rh.upf
Fe 55.84 Fe.upf
La 138.91 La.upf
ATOMIC_POSITIONS crystal
C 0.000 0.000 0.500
C 0.500 0.000 0.000
Rh 0.000 0.000 0.000
Fe 0.500 0.500 0.500
La 0.000 0.500 0.000
CELL_PARAMETERS angstrom
-1.616 2.362 2.729
3.483 -2.371 4.114
2.749 2.743 -0.746
! E_form, meV per atom: 1540
! Symmetry: P4/mmm
! D(E_F), states/eV per cell: 7.08

=====

# 3
! LaFe2RuC (GGA-PBE, relaxed); values from VASP
&SYSTEM
  ibrav = 0, nat = 5, ntyp = 4
/
ATOMIC_SPECIES
Ru 101.07 Ru.upf
C 12.01 C.upf
Fe 55.84 Fe.upf
La 138.91 La.upf
ATOMIC_POSITIONS crystal
Ru 0.000 0.500 0.000
C 0.500 0.500 0.500
Fe 0.000 0.000 0.500
Fe 0.500 0.000 0.000
La 0.000 0.000 0.000
CELL_PARAMETERS angstrom
4.612 0.000 0.000
0.000 4.756 0.000
0.000 0.000 4.612
! E_form, meV per atom: 2955
! Symmetry: P4/mmm
! D(E_F), states/eV per cell: 6.94

=====

# 4
! LaFeRu2C (GGA-PBE, relaxed); values from VASP
&SYSTEM
  ibrav = 0, nat = 5, ntyp = 4
/
ATOMIC_SPECIES
Ru 101.07 Ru.upf
C 12.01 C.upf
Fe 55.84 Fe.upf
La 138.91 La.upf
ATOMIC_POSITIONS crystal
Ru 0.000 0.500 0.000
Ru 0.500 0.000 0.000
C 0.000 0.000 0.000
Fe 0.000 0.000 0.500
La 0.500 0.500 0.500
CELL_PARAMETERS angstrom
-1.555 -0.228 3.930
-1.376 -3.928 -0.772
3.530 -1.495 1.310
! E_form, meV per atom: 63
! Symmetry: P4/mmm
! D(E_F), states/eV per cell: 5.33

=====

# 5
! LaFe2Si2C (GGA-PBE, relaxed); values from VASP
&SYSTEM
  ibrav = 0, nat = 6, ntyp = 4
/
ATOMIC_SPECIES
La 138.91 La.upf
Fe 55.84 Fe.upf
Si 28.09 Si.upf
C 12.01 C.upf
ATOMIC_POSITIONS crystal
La 0.000 0.000 0.500
Fe 0.500 0.000 0.000
Fe 0.000 0.500 0.000
Si 0.500 0.500 0.740
Si 0.500 0.500 0.260
C 0.000 0.000 0.000
CELL_PARAMETERS angstrom
3.964 0.000 0.000
0.000 3.964 0.000
0.000 0.000 5.360
! Electronic total energy, eV/f.u.: -44.056
! Symmetry: P4/mmm
! D(E_F), states/eV per cell: 3.78

=====

# 6
! LaSmFeC (GGA-PBE, relaxed); values from VASP
&SYSTEM
  ibrav = 0, nat = 8, ntyp = 4
/
ATOMIC_SPECIES
La 138.91 La.upf
Sm 150.36 Sm.upf
Fe 55.84 Fe.upf
C 12.01 C.upf
ATOMIC_POSITIONS crystal
La 0.250 0.750 0.500
La 0.750 0.250 0.500
Sm 0.750 0.750 0.192
Sm 0.250 0.250 0.808
Fe 0.750 0.250 0.000
Fe 0.250 0.750 0.000
C 0.750 0.750 0.928
C 0.250 0.250 0.072
CELL_PARAMETERS angstrom
3.781 0.000 0.000
0.000 3.781 0.000
0.000 0.000 11.178
! E_form, meV per atom: 418
! Symmetry: P4/nmm
! D(E_F), states/eV per cell: 8.46

=====

# 7
! La2FeTeC (GGA-PBE, relaxed); values from VASP
&SYSTEM
  ibrav = 0, nat = 5, ntyp = 4
/
ATOMIC_SPECIES
C 12.01 C.upf
Te 127.60 Te.upf
Fe 55.84 Fe.upf
La 138.91 La.upf
ATOMIC_POSITIONS crystal
C 0.000 0.000 0.000
Te 0.500 0.500 0.500
Fe 0.000 0.000 0.500
La 0.000 0.500 0.000
La 0.500 0.000 0.000
CELL_PARAMETERS angstrom
-0.083 -1.290 -5.285
5.440 0.024 -0.092
0.031 -3.702 0.903
! Electronic total energy, eV/f.u.: -33.571
! Symmetry: P4/mmm
! D(E_F), states/eV per cell: 3.44

=====

# 8
! La2FeTeC (GGA-PBE, relaxed); values from VASP
&SYSTEM
  ibrav = 0, nat = 5, ntyp = 4
/
ATOMIC_SPECIES
C 12.01 C.upf
Te 127.60 Te.upf
Fe 55.84 Fe.upf
La 138.91 La.upf
ATOMIC_POSITIONS crystal
C 0.500 0.500 0.500
Te 0.000 0.000 0.000
Fe 0.000 0.500 0.000
La 0.000 0.000 0.500
La 0.500 0.000 0.000
CELL_PARAMETERS angstrom
5.956 0.000 0.000
0.000 4.582 0.000
0.000 0.000 5.956
! Electronic total energy, eV/f.u.: -24.695
! Symmetry: P4/mmm
! D(E_F), states/eV per cell: 5.94

=====

# 9
! LaTi2FeC (GGA-PBE, relaxed); values from VASP
&SYSTEM
  ibrav = 0, nat = 5, ntyp = 4
/
ATOMIC_SPECIES
C 12.01 C.upf
Ti 47.87 Ti.upf
Fe 55.84 Fe.upf
La 138.91 La.upf
ATOMIC_POSITIONS crystal
C 0.000 0.500 0.000
Ti 0.000 0.000 0.500
Ti 0.500 0.000 0.000
Fe 0.500 0.500 0.500
La 0.000 0.000 0.000
CELL_PARAMETERS angstrom
4.939 0.000 0.000
0.000 4.186 0.000
0.000 0.000 4.939
! E_form, meV per atom: 2357
! Symmetry: P4/mmm
! D(E_F), states/eV per cell: 7.69

=====

# 10
! LaTl2FeC (GGA-PBE, relaxed); values from VASP
&SYSTEM
  ibrav = 0, nat = 5, ntyp = 4
/
ATOMIC_SPECIES
C 12.01 C.upf
Tl 204.38 Tl.upf
Fe 55.84 Fe.upf
La 138.91 La.upf
ATOMIC_POSITIONS crystal
C 0.500 0.500 0.500
Tl 0.000 0.000 0.500
Tl 0.500 0.000 0.000
Fe 0.000 0.000 0.000
La 0.000 0.500 0.000
CELL_PARAMETERS angstrom
5.038 0.000 0.000
0.000 5.033 0.000
0.000 0.000 5.038
! E_form, meV per atom: 1048
! Symmetry: P4/mmm
! D(E_F), states/eV per cell: 3.04

=====

# 11
! La2TlFeC (GGA-PBE, relaxed); values from VASP
&SYSTEM
  ibrav = 0, nat = 5, ntyp = 4
/
ATOMIC_SPECIES
C 12.01 C.upf
Tl 204.38 Tl.upf
Fe 55.84 Fe.upf
La 138.91 La.upf
ATOMIC_POSITIONS crystal
C 0.000 0.000 0.000
Tl 0.500 0.500 0.500
Fe 0.000 0.000 0.500
La 0.000 0.500 0.000
La 0.500 0.000 0.000
CELL_PARAMETERS angstrom
5.486 0.000 0.000
0.000 5.486 0.000
0.000 0.000 3.763
! E_form, meV per atom: -171
! Symmetry: P4/mmm
! D(E_F), states/eV per cell: 4.20

=====

# 12
! LaU2FeC4 (GGA-PBE, relaxed); values from VASP
&SYSTEM
  ibrav = 0, nat = 16, ntyp = 4
/
ATOMIC_SPECIES
La 138.91 La.upf
U 238.03 U.upf
Fe 55.84 Fe.upf
C 12.01 C.upf
ATOMIC_POSITIONS crystal
La 0.098 0.196 0.750
La 0.902 0.804 0.250
U 0.369 0.737 0.550
U 0.631 0.263 0.050
U 0.631 0.263 0.450
U 0.369 0.737 0.950
Fe 0.835 0.669 0.750
Fe 0.165 0.331 0.250
C 0.253 0.505 0.116
C 0.747 0.495 0.616
C 0.747 0.495 0.884
C 0.253 0.505 0.384
C 0.000 0.000 0.500
C 0.000 0.000 0.000
C 0.415 0.829 0.750
C 0.585 0.171 0.250
CELL_PARAMETERS angstrom
3.559 0.000 0.000
-1.780 5.745 0.000
0.000 0.000 11.657
! E_form, meV per atom: -91
! Symmetry: Cmcm
! D(E_F), states/eV per cell: 17.54

=====

# 13
! LiFeC (GGA-PBE, relaxed); values from VASP
&SYSTEM
  ibrav = 0, nat = 6, ntyp = 3
/
ATOMIC_SPECIES
C 12.01 C.upf
Li 6.94 Li.upf
Fe 55.84 Fe.upf
ATOMIC_POSITIONS crystal
C 0.500 0.000 0.653
C 0.000 0.500 0.347
Li 0.500 0.000 0.108
Li 0.000 0.500 0.892
Fe 0.500 0.500 0.500
Fe 0.000 0.000 0.500
CELL_PARAMETERS angstrom
-2.874 0.987 -1.781
-2.013 -1.845 2.226
-0.423 3.880 2.833
! E_form, meV per atom: 12
! Symmetry: P4/nmm
! D(E_F), states/eV per cell: 4.58

=====

# 14
! LiFe2C (GGA-PBE, relaxed); values from VASP
&SYSTEM
  ibrav = 0, nat = 8, ntyp = 3
/
ATOMIC_SPECIES
C 12.01 C.upf
Fe 55.84 Fe.upf
Li 6.94 Li.upf
ATOMIC_POSITIONS crystal
C 0.000 0.000 0.000
C 0.750 0.250 0.500
Fe 0.731 0.125 0.250
Fe 0.019 0.625 0.250
Fe 0.375 0.269 0.750
Fe 0.875 0.981 0.750
Li 0.500 0.500 0.000
Li 0.250 0.750 0.500
CELL_PARAMETERS angstrom
6.262 0.000 0.000
0.000 6.262 0.000
3.131 3.131 2.087
! E_form, meV per atom: 314
! Symmetry: I-42d
! D(E_F), states/eV per cell: 5.00

=====

# 15
! Li3FeC (GGA-PBE, relaxed); values from VASP
&SYSTEM
  ibrav = 0, nat = 5, ntyp = 3
/
ATOMIC_SPECIES
C 12.01 C.upf
Fe 55.84 Fe.upf
Li 6.94 Li.upf
ATOMIC_POSITIONS crystal
C 0.500 0.500 0.500
Fe 0.000 0.000 0.000
Li 0.000 0.500 0.000
Li 0.000 0.000 0.500
Li 0.500 0.000 0.000
CELL_PARAMETERS angstrom
-3.609 -0.268 2.890
2.888 -0.790 3.533
0.289 4.555 0.783
! E_form, meV per atom: 1875
! Symmetry: Pm-3m
! D(E_F), states/eV per cell: 3.99

=====

# 16
! Li2FeC (GGA-PBE, relaxed); values from VASP
&SYSTEM
  ibrav = 0, nat = 8, ntyp = 3
/
ATOMIC_SPECIES
C 12.01 C.upf
Fe 55.84 Fe.upf
Li 6.94 Li.upf
ATOMIC_POSITIONS crystal
C 0.500 0.500 0.000
C 0.250 0.750 0.500
Fe 0.000 0.000 0.000
Fe 0.750 0.250 0.500
Li 0.594 0.125 0.250
Li 0.156 0.625 0.250
Li 0.375 0.406 0.750
Li 0.875 0.844 0.750
CELL_PARAMETERS angstrom
-1.496 2.212 -1.264
-2.448 -0.842 1.424
0.030 5.697 6.484
! E_form, meV per atom: 639
! Symmetry: I-42d
! D(E_F), states/eV per cell: 2.83

=====

# 17
! Li3FeC (GGA-PBE, relaxed); values from VASP
&SYSTEM
  ibrav = 0, nat = 5, ntyp = 3
/
ATOMIC_SPECIES
C 12.01 C.upf
Fe 55.84 Fe.upf
Li 6.94 Li.upf
ATOMIC_POSITIONS crystal
C 0.000 0.000 0.000
Fe 0.500 0.500 0.500
Li 0.000 0.500 0.000
Li 0.000 0.000 0.500
Li 0.500 0.000 0.000
CELL_PARAMETERS angstrom
3.973 0.000 0.000
0.000 3.973 0.000
0.000 0.000 3.973
! E_form, meV per atom: 833
! Symmetry: Pm-3m
! D(E_F), states/eV per cell: 4.22

=====

# 18
! LiMn2FeC (GGA-PBE, relaxed); values from VASP
&SYSTEM
  ibrav = 0, nat = 5, ntyp = 4
/
ATOMIC_SPECIES
C 12.01 C.upf
Mn 54.94 Mn.upf
Fe 55.84 Fe.upf
Li 6.94 Li.upf
ATOMIC_POSITIONS crystal
C 0.000 0.000 0.000
Mn 0.000 0.500 0.000
Mn 0.500 0.000 0.000
Fe 0.000 0.000 0.500
Li 0.500 0.500 0.500
CELL_PARAMETERS angstrom
3.933 0.000 0.000
0.000 3.933 0.000
0.000 0.000 3.730
! E_form, meV per atom: 106
! Symmetry: P4/mmm
! D(E_F), states/eV per cell: 1.96

=====

# 19
! NaLi2FeC (GGA-PBE, relaxed); values from VASP
&SYSTEM
  ibrav = 0, nat = 5, ntyp = 4
/
ATOMIC_SPECIES
Na 22.99 Na.upf
C 12.01 C.upf
Fe 55.84 Fe.upf
Li 6.94 Li.upf
ATOMIC_POSITIONS crystal
Na 0.000 0.500 0.000
C 0.000 0.000 0.000
Fe 0.500 0.500 0.500
Li 0.000 0.000 0.500
Li 0.500 0.000 0.000
CELL_PARAMETERS angstrom
-1.319 3.915 -0.345
-4.042 -1.173 2.136
1.686 0.892 3.681
! E_form, meV per atom: 1124
! Symmetry: P4/mmm
! D(E_F), states/eV per cell: 5.79